Entry 1:
The following is a DFT calculation (GGA-PBE) of LaCoAs2Pd after structural relaxation.

Cell lengths 4.285, 4.285, 10.149 Å; angles 90.00, 90.00, 90.00 degrees
Fractional positions:
As  0.000  0.000  0.000
As  0.500  0.500  0.000
As  0.500  0.000  0.386
As  0.000  0.500  0.614
Co  0.000  0.000  0.500
Co  0.500  0.500  0.500
La  0.000  0.500  0.263
La  0.500  0.000  0.737
Pd  0.500  0.000  0.137
Pd  0.000  0.500  0.863

Computed properties:
electronic total energy	-6.113	eV per atom
SG	No. 129

Entry 2:
The following is a DFT calculation (GGA-PBE) of LiCo6As4 after structural relaxation.

Cell lengths 6.818, 6.818, 3.465 Å; angles 90.00, 90.00, 120.00 degrees
Fractional positions:
As  0.333  0.667  0.000
As  0.363  0.181  0.500
As  0.819  0.181  0.500
As  0.819  0.637  0.500
Co  0.537  0.074  0.000
Co  0.537  0.463  0.000
Co  0.926  0.463  0.000
Co  0.202  0.404  0.500
Co  0.202  0.798  0.500
Co  0.596  0.798  0.500
Li  0.000  0.000  0.000

Computed properties:
electronic total energy	-6.062	eV per atom
SG	No. 187

Entry 3:
The following is a DFT calculation (GGA-PBE) of LiCoAs after structural relaxation.

Cell lengths 6.448, 3.787, 6.627 Å; angles 90.00, 90.00, 90.00 degrees
Fractional positions:
As  0.783  0.750  0.130
As  0.283  0.750  0.370
As  0.717  0.250  0.630
As  0.217  0.250  0.870
Co  0.135  0.750  0.051
Co  0.635  0.750  0.449
Co  0.365  0.250  0.551
Co  0.865  0.250  0.949
Li  0.488  0.250  0.168
Li  0.988  0.250  0.332
Li  0.012  0.750  0.668
Li  0.512  0.750  0.832

Computed properties:
electronic total energy	-5.053	eV per atom
SG	No. 62

Entry 4:
The following is a DFT calculation (GGA-PBE) of LiCoAs after structural relaxation.

Cell lengths 3.729, 3.729, 6.070 Å; angles 90.00, 90.00, 90.00 degrees
Fractional positions:
As  0.500  0.000  0.234
As  0.000  0.500  0.766
Co  0.000  0.000  0.000
Co  0.500  0.500  0.000
Li  0.000  0.500  0.330
Li  0.500  0.000  0.670

Computed properties:
electronic total energy	-5.058	eV per atom
SG	No. 129

Entry 5:
The following is a DFT calculation (GGA-PBE) of LiLuCoAs after structural relaxation.

Cell lengths 4.569, 4.569, 4.569 Å; angles 60.00, 60.00, 60.00 degrees
Fractional positions:
As  0.500  0.500  0.500
Co  0.000  0.000  0.000
Li  0.750  0.750  0.750
Lu  0.250  0.250  0.250

Computed properties:
energy above the most stable polymorph in this dataset	19.3	kJ per mole of atoms
SG	No. 216

Entry 6:
The following is a DFT calculation (GGA-PBE) of LiLuCoAs after structural relaxation.

Cell lengths 4.418, 4.418, 4.418 Å; angles 60.00, 60.00, 60.00 degrees
Fractional positions:
As  0.250  0.250  0.250
Co  0.000  0.000  0.000
Li  0.750  0.750  0.750
Lu  0.500  0.500  0.500

Computed properties:
energy above the most stable polymorph in this dataset	20.5	kJ per mole of atoms
SG	No. 216